1.
A geometry-optimized Li2Mn2NbS6 structure, computed with GGA-PBE.

The value obtained for the density of states at the Fermi level is 2.3 states/eV per cell. As for the total energy: -6.042 eV/atom. The space group is C2/m, No. 12. The value obtained for the uncorrected formation energy is -860 meV/atom.

The structure in CIF format:
```
data_Li2Mn2NbS6
_chemical_formula_sum 'Li2 Mn2 Nb1 S6'
_space_group_name_H-M_alt 'P 1'
_space_group_IT_number 1
_cell_length_a 5.821
_cell_length_b 5.821
_cell_length_c 6.525
_cell_angle_alpha 97.99
_cell_angle_beta 97.99
_cell_angle_gamma 120.52
loop_
_space_group_symop_operation_xyz
'x,y,z'
loop_
_atom_site_label
_atom_site_type_symbol
_atom_site_fract_x
_atom_site_fract_y
_atom_site_fract_z
Li1 Li 0.838 0.162 0.000
Li2 Li 0.162 0.838 0.000
Mn1 Mn 0.342 0.658 0.500
Mn2 Mn 0.658 0.342 0.500
Nb1 Nb 0.000 0.000 0.500
S1 S 0.718 0.718 0.733
S2 S 0.067 0.425 0.721
S3 S 0.282 0.282 0.267
S4 S 0.425 0.067 0.721
S5 S 0.933 0.575 0.279
S6 S 0.575 0.933 0.279
```

***

2.
A geometry-optimized NpScIrRu structure, computed with GGA-PBE.

The value obtained for the density of states at the Fermi level is 4.2 states/eV per cell. As for the total energy: -9.811 eV/atom. The calculated formation energy is -0.46 eV per atom. The space group is F-43m, No. 216.

The structure in CIF format:
```
data_NpScIrRu
_chemical_formula_sum 'Np1 Sc1 Ir1 Ru1'
_space_group_name_H-M_alt 'P 1'
_space_group_IT_number 1
_cell_length_a 4.684
_cell_length_b 4.684
_cell_length_c 4.684
_cell_angle_alpha 60.00
_cell_angle_beta 60.00
_cell_angle_gamma 60.00
loop_
_space_group_symop_operation_xyz
'x,y,z'
loop_
_atom_site_label
_atom_site_type_symbol
_atom_site_fract_x
_atom_site_fract_y
_atom_site_fract_z
Np1 Np 0.250 0.250 0.250
Ru1 Ru 0.500 0.500 0.500
Ir1 Ir 0.000 0.000 0.000
Sc1 Sc 0.750 0.750 0.750
```

***

3.
A geometry-optimized BeCu4 structure, computed with GGA-PBE.

For the distance to the lowest polymorph of the same formula, the calculation gives 0.000 eV/atom. The value obtained for the density of states at the Fermi level is 1.3 states/eV per cell. As for the total energy: -4.058 eV/atom. The calculated formation energy is -0.04 eV per atom. The space group is I4/mmm, No. 139.

The structure in CIF format:
```
data_BeCu4
_chemical_formula_sum 'Be1 Cu4'
_space_group_name_H-M_alt 'P 1'
_space_group_IT_number 1
_cell_length_a 2.601
_cell_length_b 2.601
_cell_length_c 8.384
_cell_angle_alpha 98.93
_cell_angle_beta 98.93
_cell_angle_gamma 90.00
loop_
_space_group_symop_operation_xyz
'x,y,z'
loop_
_atom_site_label
_atom_site_type_symbol
_atom_site_fract_x
_atom_site_fract_y
_atom_site_fract_z
Be1 Be 0.000 0.000 0.000
Cu1 Cu 0.586 0.586 0.172
Cu2 Cu 0.196 0.196 0.391
Cu3 Cu 0.804 0.804 0.609
Cu4 Cu 0.414 0.414 0.828
```

***

4.
A geometry-optimized Nd3Al8Pt3 structure, computed with GGA-PBE.

The value obtained for the density of states at the Fermi level is 6.0 states/eV per cell. As for the total energy: -5.283 eV/atom. The calculated formation energy is -0.83 eV per atom. The space group is C2/m, No. 12.

The structure in CIF format:
```
data_Nd3Al8Pt3
_chemical_formula_sum 'Nd3 Al8 Pt3'
_space_group_name_H-M_alt 'P 1'
_space_group_IT_number 1
_cell_length_a 4.489
_cell_length_b 8.311
_cell_length_c 8.376
_cell_angle_alpha 66.16
_cell_angle_beta 74.46
_cell_angle_gamma 74.33
loop_
_space_group_symop_operation_xyz
'x,y,z'
loop_
_atom_site_label
_atom_site_type_symbol
_atom_site_fract_x
_atom_site_fract_y
_atom_site_fract_z
Nd1 Nd 0.287 0.728 0.698
Nd2 Nd 0.713 0.272 0.302
Nd3 Nd 0.000 0.000 0.000
Al1 Al 0.131 0.159 0.579
Al2 Al 0.869 0.841 0.421
Al3 Al 0.847 0.439 0.867
Al4 Al 0.153 0.561 0.133
Al5 Al 0.507 0.661 0.324
Al6 Al 0.493 0.339 0.676
Al7 Al 0.349 0.019 0.283
Al8 Al 0.651 0.981 0.717
Pt1 Pt 0.000 0.500 0.500
Pt2 Pt 0.650 0.702 0.998
Pt3 Pt 0.350 0.298 0.002
```

***

5.
A geometry-optimized DySbN structure, computed with GGA-PBE.

For the distance to the lowest polymorph of the same formula, the calculation gives 0.843 eV/atom. The value obtained for the density of states at the Fermi level is 8.2 states/eV per cell. As for the total energy: -5.638 eV/atom. The space group is Fddd, No. 70. The value obtained for the uncorrected formation energy is 45 meV/atom.

The structure in CIF format:
```
data_DySbN
_chemical_formula_sum 'Dy4 Sb4 N4'
_space_group_name_H-M_alt 'P 1'
_space_group_IT_number 1
_cell_length_a 7.267
_cell_length_b 7.267
_cell_length_c 8.078
_cell_angle_alpha 118.27
_cell_angle_beta 118.27
_cell_angle_gamma 86.96
loop_
_space_group_symop_operation_xyz
'x,y,z'
loop_
_atom_site_label
_atom_site_type_symbol
_atom_site_fract_x
_atom_site_fract_y
_atom_site_fract_z
Dy1 Dy 0.698 0.302 0.000
Dy2 Dy 0.948 0.052 0.500
Dy3 Dy 0.302 0.698 0.000
Dy4 Dy 0.552 0.448 0.500
Sb1 Sb 0.886 0.886 0.773
Sb2 Sb 0.114 0.114 0.227
Sb3 Sb 0.136 0.636 0.273
Sb4 Sb 0.364 0.864 0.727
N1 N 0.625 0.375 0.750
N2 N 0.125 0.375 0.750
N3 N 0.625 0.875 0.250
N4 N 0.625 0.375 0.250
```

***

6.
A geometry-optimized MgOsRh2 structure, computed with GGA-PBE.

The value obtained for the density of states at the Fermi level is 1.9 states/eV per cell. As for the total energy: -6.699 eV/atom. The calculated formation energy is 0.18 eV per atom. The space group is F-43m, No. 216.

The structure in CIF format:
```
data_MgOsRh2
_chemical_formula_sum 'Mg1 Os1 Rh2'
_space_group_name_H-M_alt 'P 1'
_space_group_IT_number 1
_cell_length_a 4.365
_cell_length_b 4.365
_cell_length_c 4.365
_cell_angle_alpha 60.00
_cell_angle_beta 60.00
_cell_angle_gamma 60.00
loop_
_space_group_symop_operation_xyz
'x,y,z'
loop_
_atom_site_label
_atom_site_type_symbol
_atom_site_fract_x
_atom_site_fract_y
_atom_site_fract_z
Mg1 Mg 0.500 0.500 0.500
Os1 Os 0.750 0.750 0.750
Rh1 Rh 0.000 0.000 0.000
Rh2 Rh 0.250 0.250 0.250
```

***

7.
A geometry-optimized Pa2MnS6 structure, computed with GGA-PBE.

For the distance to the lowest polymorph of the same formula, the calculation gives 0.000 eV/atom. As for the total energy: -7.165 eV/atom. The space group is P2_1/c, No. 14. The value obtained for the uncorrected formation energy is -1284 meV/atom.

The structure in CIF format:
```
data_Pa2MnS6
_chemical_formula_sum 'Pa4 Mn2 S12'
_space_group_name_H-M_alt 'P 1'
_space_group_IT_number 1
_cell_length_a 6.340
_cell_length_b 6.298
_cell_length_c 11.341
_cell_angle_alpha 90.00
_cell_angle_beta 90.05
_cell_angle_gamma 90.00
loop_
_space_group_symop_operation_xyz
'x,y,z'
loop_
_atom_site_label
_atom_site_type_symbol
_atom_site_fract_x
_atom_site_fract_y
_atom_site_fract_z
Pa1 Pa 0.000 0.499 0.821
Pa2 Pa 0.500 0.999 0.679
Pa3 Pa 0.500 0.001 0.321
Pa4 Pa 0.000 0.501 0.179
Mn1 Mn 0.500 0.500 0.000
Mn2 Mn 0.000 0.000 0.500
S1 S 0.840 0.760 0.340
S2 S 0.840 0.757 0.659
S3 S 0.832 0.712 0.000
S4 S 0.668 0.212 0.500
S5 S 0.660 0.257 0.841
S6 S 0.660 0.260 0.160
S7 S 0.160 0.240 0.660
S8 S 0.160 0.243 0.341
S9 S 0.168 0.288 0.000
S10 S 0.332 0.788 0.500
S11 S 0.340 0.743 0.159
S12 S 0.340 0.740 0.840
```

***

8.
A geometry-optimized Mg2AlTc structure, computed with GGA-PBE.

The value obtained for the density of states at the Fermi level is 3.2 states/eV per cell. As for the total energy: -4.128 eV/atom. The calculated formation energy is 0.20 eV per atom. The space group is R-3m, No. 166.

The structure in CIF format:
```
data_Mg2AlTc
_chemical_formula_sum 'Mg2 Al1 Tc1'
_space_group_name_H-M_alt 'P 1'
_space_group_IT_number 1
_cell_length_a 9.482
_cell_length_b 9.482
_cell_length_c 9.482
_cell_angle_alpha 17.79
_cell_angle_beta 17.79
_cell_angle_gamma 17.79
loop_
_space_group_symop_operation_xyz
'x,y,z'
loop_
_atom_site_label
_atom_site_type_symbol
_atom_site_fract_x
_atom_site_fract_y
_atom_site_fract_z
Al1 Al 0.750 0.750 0.750
Mg1 Mg 0.997 0.997 0.997
Mg2 Mg 0.503 0.503 0.503
Tc1 Tc 0.250 0.250 0.250
```

***

9.
A geometry-optimized Tb2Re3N8 structure, computed with GGA-PBE.

The value obtained for the density of states at the Fermi level is 4.4 states/eV per cell. As for the total energy: -9.100 eV/atom. The space group is C2/m, No. 12. The value obtained for the uncorrected formation energy is -392 meV/atom.

The structure in CIF format:
```
data_Tb2Re3N8
_chemical_formula_sum 'Tb2 Re3 N8'
_space_group_name_H-M_alt 'P 1'
_space_group_IT_number 1
_cell_length_a 5.035
_cell_length_b 6.287
_cell_length_c 6.596
_cell_angle_alpha 118.46
_cell_angle_beta 109.22
_cell_angle_gamma 90.00
loop_
_space_group_symop_operation_xyz
'x,y,z'
loop_
_atom_site_label
_atom_site_type_symbol
_atom_site_fract_x
_atom_site_fract_y
_atom_site_fract_z
Tb1 Tb 0.342 0.261 0.523
Tb2 Tb 0.658 0.739 0.477
Re1 Re 0.500 0.000 0.000
Re2 Re 0.000 0.295 0.000
Re3 Re 0.000 0.705 0.000
N1 N 0.930 0.612 0.224
N2 N 0.070 0.388 0.776
N3 N 0.904 0.100 0.200
N4 N 0.096 0.900 0.800
N5 N 0.600 0.670 0.789
N6 N 0.600 0.120 0.789
N7 N 0.400 0.880 0.211
N8 N 0.400 0.330 0.211
```

***

10.
A geometry-optimized BaNaNb structure, computed with GGA-PBE.

For the distance to the lowest polymorph of the same formula, the calculation gives 0.299 eV/atom. The value obtained for the density of states at the Fermi level is 11.3 states/eV per cell. As for the total energy: -3.803 eV/atom. The calculated formation energy is 0.63 eV per atom. The space group is Pnma, No. 62.

The structure in CIF format:
```
data_BaNaNb
_chemical_formula_sum 'Ba4 Na4 Nb4'
_space_group_name_H-M_alt 'P 1'
_space_group_IT_number 1
_cell_length_a 7.853
_cell_length_b 4.587
_cell_length_c 11.686
_cell_angle_alpha 90.00
_cell_angle_beta 90.00
_cell_angle_gamma 90.00
loop_
_space_group_symop_operation_xyz
'x,y,z'
loop_
_atom_site_label
_atom_site_type_symbol
_atom_site_fract_x
_atom_site_fract_y
_atom_site_fract_z
Na1 Na 0.628 0.250 0.427
Na2 Na 0.872 0.750 0.927
Na3 Na 0.372 0.750 0.573
Na4 Na 0.128 0.250 0.073
Nb1 Nb 0.042 0.250 0.477
Nb2 Nb 0.458 0.750 0.977
Nb3 Nb 0.958 0.750 0.523
Nb4 Nb 0.542 0.250 0.023
Ba1 Ba 0.216 0.250 0.788
Ba2 Ba 0.284 0.750 0.288
Ba3 Ba 0.784 0.750 0.212
Ba4 Ba 0.716 0.250 0.712
```

***

11.
A geometry-optimized MgAlIn2 structure, computed with GGA-PBE.

The value obtained for the density of states at the Fermi level is 0.9 states/eV per cell. As for the total energy: -2.661 eV/atom. The calculated formation energy is 0.04 eV per atom. The space group is I-4m2, No. 119.

The structure in CIF format:
```
data_MgAlIn2
_chemical_formula_sum 'Mg1 Al1 In2'
_space_group_name_H-M_alt 'P 1'
_space_group_IT_number 1
_cell_length_a 5.697
_cell_length_b 5.697
_cell_length_c 5.697
_cell_angle_alpha 135.14
_cell_angle_beta 135.14
_cell_angle_gamma 65.31
loop_
_space_group_symop_operation_xyz
'x,y,z'
loop_
_atom_site_label
_atom_site_type_symbol
_atom_site_fract_x
_atom_site_fract_y
_atom_site_fract_z
Mg1 Mg 0.500 0.500 0.000
Al1 Al 0.750 0.250 0.500
In1 In 0.000 0.000 0.000
In2 In 0.250 0.750 0.500
```

***

12.
A geometry-optimized Li2Mg structure, computed with GGA-PBE.

The value obtained for the density of states at the Fermi level is 2.0 states/eV per cell. As for the total energy: -1.781 eV/atom. The calculated formation energy is 0.03 eV per atom. The space group is Imma, No. 74.

The structure in CIF format:
```
data_Li2Mg
_chemical_formula_sum 'Li4 Mg2'
_space_group_name_H-M_alt 'P 1'
_space_group_IT_number 1
_cell_length_a 3.092
_cell_length_b 5.134
_cell_length_c 8.250
_cell_angle_alpha 108.13
_cell_angle_beta 100.80
_cell_angle_gamma 90.00
loop_
_space_group_symop_operation_xyz
'x,y,z'
loop_
_atom_site_label
_atom_site_type_symbol
_atom_site_fract_x
_atom_site_fract_y
_atom_site_fract_z
Li1 Li 0.012 0.262 0.023
Li2 Li 0.178 0.428 0.357
Li3 Li 0.822 0.572 0.643
Li4 Li 0.988 0.738 0.977
Mg1 Mg 0.660 0.910 0.319
Mg2 Mg 0.340 0.090 0.681
```